Version A
Entry from the Alexandria database: a geometry-optimized UPO structure (GGA-PBE).

Cell: 4.2158 4.2158 4.2158 Å, 60.00 60.00 60.00°
Fractional coordinates of all 3 atoms:
O (0.5000, 0.5000, 0.5000)
P (0.0000, 0.0000, 0.0000)
U (0.2500, 0.2500, 0.2500)


Version B
Entry from the Alexandria database: a geometry-optimized UPO structure (GGA-PBE).

Cell: 3.7489 5.0797 6.6751 Å, 68.74 73.69 68.35°
Fractional coordinates of all 6 atoms:
P (0.4404, 0.2289, 0.8903)
P (0.5596, 0.7711, 0.1097)
O (0.8116, 0.7985, 0.5784)
O (0.1884, 0.2015, 0.4216)
U (0.8018, 0.1438, 0.2525)
U (0.1982, 0.8562, 0.7475)


Consider the structures shown above. The most stable of them is version B.